Below is LiTmSi2O6 after structural relaxation, with properties calculated at the GGA-PBE level.

Structure (POSCAR):
```
LiTmSi2O6
1.0
4.9373 -4.5967 0.0000
4.9373 4.5967 0.0000
-1.8869 0.0000 5.0873
Li O Si Tm
2 12 4 2
direct
0.2436 0.7564 0.2500
0.7564 0.2436 0.7500
0.3783 0.3304 0.0495
0.8663 0.3864 0.1205
0.2076 0.0412 0.1705
0.9588 0.7924 0.3295
0.6136 0.1337 0.3795
0.6696 0.6217 0.4505
0.3304 0.3783 0.5495
0.3864 0.8663 0.6205
0.0412 0.2076 0.6705
0.7924 0.9588 0.8295
0.1337 0.6136 0.8795
0.6217 0.6696 0.9505
0.7815 0.6149 0.2100
0.3851 0.2185 0.2900
0.6149 0.7815 0.7100
0.2185 0.3851 0.7900
0.8869 0.1131 0.2500
0.1131 0.8869 0.7500
```

VASP energy: -7.64 eV per atom
ρ: 4.72 g/cm3
Space-group type: C2/c (15)
Crystal system: monoclinic
V: 231 Å³/cell

---

Below is PrTlFe after structural relaxation, with properties calculated at the GGA-PBE level.

Structure (POSCAR):
```
PrTlFe
1.0
0.0000 3.3838 3.3838
3.3838 0.0000 3.3838
3.3838 3.3838 0.0000
Fe Pr Tl
1 1 1
direct
0.0000 0.0000 0.0000
0.2500 0.2500 0.2500
0.7500 0.7500 0.7500
```

VASP energy: -4.86 eV per atom
ρ: 8.60 g/cm3
Space-group type: F-43m (216)
Crystal system: cubic
V: 77 Å³/cell

---

Below is SmReAsO after structural relaxation, with properties calculated at the GGA-PBE level.

Structure (POSCAR):
```
SmReAsO
1.0
4.2691 0.0000 0.0000
0.0000 4.2691 0.0000
0.0000 0.0000 7.1586
As O Re Sm
2 2 2 2
direct
0.0000 0.5000 0.2189
0.5000 0.0000 0.7811
0.0000 0.0000 0.0000
0.5000 0.5000 0.0000
0.5000 0.0000 0.1241
0.0000 0.5000 0.8759
0.0000 0.0000 0.5000
0.5000 0.5000 0.5000
```

Relative energy among the computed polymorphs: 1.7222 eV per atom
VASP energy: -6.55 eV per atom
ρ: 10.88 g/cm3
Space-group type: P4/nmm (129)
Crystal system: tetragonal
V: 130 Å³/cell

---

Below is HfTlGaTe3 after structural relaxation, with properties calculated at the GGA-PBE level.

Structure (POSCAR):
```
HfTlGaTe3
1.0
0.4153 0.9717 -8.3683
-2.3587 -4.2599 6.8873
-10.1798 5.9339 0.1838
Ga Hf Te Tl
2 2 6 2
direct
0.6277 0.3723 0.2500
0.3723 0.6277 0.7500
0.0000 0.0000 0.0000
0.0000 0.0000 0.5000
0.3753 0.6247 0.0092
0.0106 0.9894 0.2500
0.3753 0.6247 0.4908
0.6247 0.3753 0.5092
0.9894 0.0106 0.7500
0.6247 0.3753 0.9908
0.2709 0.7291 0.2500
0.7291 0.2709 0.7500
```

VASP energy: -4.59 eV per atom
ρ: 7.02 g/cm3
Space-group type: Cmcm (63)
Crystal system: orthorhombic
V: 395 Å³/cell

---

Below is CsCdBiS3 after structural relaxation, with properties calculated at the GGA-PBE level.

Structure (POSCAR):
```
CsCdBiS3
1.0
2.4562 6.6552 3.9477
-6.0245 -4.7505 -2.6546
0.3600 -5.7214 9.4213
Bi Cd Cs S
2 2 2 6
direct
0.0000 0.0000 0.0000
0.0000 0.0000 0.5000
0.5425 0.4575 0.2500
0.4575 0.5425 0.7500
0.2614 0.7386 0.2500
0.7386 0.2614 0.7500
0.6191 0.3809 0.0491
0.9446 0.0554 0.2500
0.6191 0.3809 0.4509
0.3809 0.6191 0.5491
0.0554 0.9446 0.7500
0.3809 0.6191 0.9509
```

VASP energy: -3.74 eV per atom
ρ: 4.98 g/cm3
Space-group type: Cmcm (63)
Crystal system: orthorhombic
V: 367 Å³/cell

---

Below is PaCoAu after structural relaxation, with properties calculated at the GGA-PBE level.

Structure (POSCAR):
```
PaCoAu
1.0
3.7142 -2.4119 1.2081
-0.0755 -2.5851 3.7926
-0.0244 -4.5776 -0.3425
Au Co Pa
1 1 1
direct
0.2500 0.2500 0.2500
0.7500 0.7500 0.7500
0.0000 0.0000 0.0000
```

Calculated formation energy: 0.34 eV/atom
Relative energy among the computed polymorphs: 0.4846 eV per atom
VASP energy: -6.28 eV per atom
ρ: 11.82 g/cm3
Space-group type: F-43m (216)
Crystal system: cubic
V: 68 Å³/cell

---

The highest VASP energy belongs to which entry?
CsCdBiS3